An optimized crystal structure of AlTl2CrS4, computed with PBE.

Properties
DOS at the Fermi energy ... 6.97 states/eV/cell
V ... 1734.5 Å³/cell
Formation energy without anion corrections ... -0.61 eV/atom

abc: 5.9614 12.8445 22.6525
angles: 90.00 90.00 90.00
Space group Fddd (No. 70, origin choice 2)
Unique sites:
Al: 0.1250 0.1250 0.1250 (multiplicity 8)
Tl: 0.1250 0.1250 0.4414 (multiplicity 16)
Cr: 0.1250 0.1250 0.6250 (multiplicity 8)
S: 0.1216 0.2778 0.3233 (multiplicity 32)